# PBE TaTl3Pb, optimized geometry
# energy relative to the lowest polymorph listed for this composition = 4.38 eV/f.u.
# magnetization = 3.63 μB/f.u.
# D(E_F) = 1.8223 states/eV/atom
# formation energy = 7.8 eV per formula unit
# DFT total energy = -2.979 eV per atom
data_TaTl3Pb
_space_group_name_H-M_alt 'P m -3 m'
_space_group_IT_number 221
_space_group_name_Hall '-P 4 2 3'
_cell_length_a 5.8608
_cell_length_b 5.8608
_cell_length_c 5.8608
_cell_angle_alpha 90.00
_cell_angle_beta 90.00
_cell_angle_gamma 90.00
loop_
_atom_site_label
_atom_site_type_symbol
_atom_site_fract_x
_atom_site_fract_y
_atom_site_fract_z
Ta1 Ta 0.0000 0.0000 0.0000
Tl1 Tl 0.0000 0.5000 0.5000
Pb1 Pb 0.5000 0.5000 0.5000

# PBE TaTlPb3, optimized geometry
# energy relative to the lowest polymorph listed for this composition = 0.00 eV/f.u.
# magnetization = 0.00 μB/f.u.
# D(E_F) = 0.6236 states/eV/atom
# formation energy = 2.1 eV per formula unit
# DFT total energy = -4.655 eV per atom
data_TaTlPb3
_space_group_name_H-M_alt 'P m -3 m'
_space_group_IT_number 221
_space_group_name_Hall '-P 4 2 3'
_cell_length_a 5.5514
_cell_length_b 5.5514
_cell_length_c 5.5514
_cell_angle_alpha 90.00
_cell_angle_beta 90.00
_cell_angle_gamma 90.00
loop_
_atom_site_label
_atom_site_type_symbol
_atom_site_fract_x
_atom_site_fract_y
_atom_site_fract_z
Ta1 Ta 0.0000 0.0000 0.0000
Tl1 Tl 0.5000 0.5000 0.5000
Pb1 Pb 0.0000 0.0000 0.5000